[1]
# Al2CuMo

Al2CuMo after structural relaxation (GGA-PBE, the Alexandria database).

Summary:
M_tot = 0.000 μB/cell
Distance to the lowest polymorph of the same formula = 158 meV/atom
Space-group type = Immm (71)
Calculated formation energy = -0.076 eV/atom

Unit cell a=5.121 b=5.121 c=5.121 alpha=147.52 beta=125.92 gamma=64.52
Element x y z (fractional)
Mo 0.250 0.750 0.500
Al 0.984 0.984 0.000
Al 0.516 0.516 0.000
Cu 0.750 0.250 0.500


[2]
# AlCuMo2

AlCuMo2 after structural relaxation (GGA-PBE, the Alexandria database).

Summary:
M_tot = 0.000 μB/cell
Space-group type = Pmm2 (25)
Calculated formation energy = 0.134 eV/atom

Unit cell a=2.650 b=4.101 c=5.520 alpha=90.00 beta=90.00 gamma=90.00
Element x y z (fractional)
Mo 0.000 0.000 0.004
Mo 0.500 0.500 0.246
Al 0.000 0.000 0.512
Cu 0.500 0.500 0.738


[3]
# AlCuMo2

AlCuMo2 after structural relaxation (GGA-PBE, the Alexandria database).

Summary:
M_tot = 0.000 μB/cell
Space-group type = I-4m2 (119)
Calculated formation energy = 0.036 eV/atom

Unit cell a=4.770 b=4.770 c=4.770 alpha=131.96 beta=131.96 gamma=70.30
Element x y z (fractional)
Mo 0.000 0.000 0.000
Mo 0.250 0.750 0.500
Al 0.500 0.500 0.000
Cu 0.750 0.250 0.500


[4]
# AlCuMo2

AlCuMo2 after structural relaxation (GGA-PBE, the Alexandria database).

Summary:
M_tot = 0.000 μB/cell
Space-group type = P2/m (10)
Calculated formation energy = 0.008 eV/atom

Unit cell a=4.254 b=2.672 c=5.528 alpha=69.69 beta=90.00 gamma=90.00
Element x y z (fractional)
Mo 0.000 0.990 0.003
Mo 0.000 0.510 0.497
Al 0.500 0.250 0.250
Cu 0.500 0.750 0.750


[5]
# AlCuMo

AlCuMo after structural relaxation (GGA-PBE, the Alexandria database).

Summary:
M_tot = 0.000 μB/cell
Distance to the lowest polymorph of the same formula = 91 meV/atom
Space-group type = P3m1 (156)
Calculated formation energy = 0.055 eV/atom

Unit cell a=2.768 b=2.768 c=6.592 alpha=90.00 beta=90.00 gamma=120.00
Element x y z (fractional)
Mo 0.333 0.667 0.666
Al 0.000 0.000 0.009
Cu 0.667 0.333 0.325


[6]
# Al12Cu3Mo5

Al12Cu3Mo5 after structural relaxation (GGA-PBE, the Alexandria database).

Summary:
M_tot = 5.130 μB/cell
Space-group type = Ia-3d (230)
Calculated formation energy = 0.806 eV/atom

Unit cell a=12.751 b=12.751 c=12.751 alpha=109.47 beta=109.47 gamma=109.47
Each line ends with the local moment (μB).
Element x y z (fractional)
Cu 0.750 0.375 0.125  0.01
Cu 0.875 0.750 0.125  0.01
Cu 0.375 0.750 0.625  0.01
Cu 0.250 0.125 0.375  0.01
Cu 0.875 0.125 0.250  0.01
Cu 0.375 0.625 0.250  0.01
Cu 0.625 0.375 0.750  0.01
Cu 0.125 0.875 0.750  0.01
Cu 0.750 0.875 0.625  0.01
Cu 0.625 0.250 0.375  0.01
Cu 0.125 0.250 0.875  0.01
Cu 0.250 0.625 0.875  0.01
Mo 0.125 0.375 0.250  0.29
Mo 0.000 0.500 0.000  0.12
Mo 0.000 0.000 0.000  0.12
Mo 0.375 0.250 0.125  0.29
Mo 0.500 0.000 0.500  0.12
Mo 0.500 0.500 0.000  0.12
Mo 0.125 0.750 0.375  0.29
Mo 0.750 0.125 0.875  0.29
Mo 0.750 0.625 0.375  0.29
Mo 0.375 0.125 0.750  0.29
Mo 0.625 0.875 0.250  0.29
Mo 0.500 0.500 0.500  0.12
Mo 0.500 0.000 0.000  0.12
Mo 0.000 0.000 0.500  0.12
Mo 0.250 0.375 0.625  0.29
Mo 0.250 0.875 0.125  0.29
Mo 0.000 0.500 0.500  0.12
Mo 0.875 0.250 0.625  0.29
Mo 0.625 0.750 0.875  0.29
Mo 0.875 0.625 0.750  0.29
Al 0.732 0.140 0.072  0.00
Al 0.340 0.572 0.432  0.00
Al 0.928 0.360 0.268  0.00
Al 0.572 0.232 0.140  0.00
Al 0.592 0.732 0.660  0.00
Al 0.928 0.568 0.160  0.00
Al 0.340 0.768 0.408  0.00
Al 0.068 0.908 0.140  0.00
Al 0.568 0.928 0.660  0.00
Al 0.732 0.592 0.160  0.00
Al 0.768 0.428 0.360  0.00
Al 0.840 0.932 0.072  0.00
Al 0.140 0.732 0.572  0.00
Al 0.360 0.432 0.092  0.00
Al 0.092 0.932 0.360  0.00
Al 0.408 0.140 0.568  0.00
Al 0.092 0.160 0.232  0.00
Al 0.428 0.660 0.068  0.00
Al 0.840 0.908 0.268  0.00
Al 0.140 0.408 0.068  0.00
Al 0.360 0.928 0.768  0.00
Al 0.568 0.640 0.408  0.00
Al 0.932 0.840 0.572  0.00
Al 0.768 0.340 0.908  0.00
Al 0.432 0.360 0.592  0.00
Al 0.068 0.160 0.428  0.00
Al 0.232 0.660 0.092  0.00
Al 0.160 0.092 0.732  0.00
Al 0.640 0.072 0.232  0.00
Al 0.860 0.592 0.932  0.00
Al 0.572 0.340 0.932  0.00
Al 0.592 0.860 0.432  0.00
Al 0.908 0.840 0.768  0.00
Al 0.908 0.068 0.640  0.00
Al 0.860 0.268 0.428  0.00
Al 0.160 0.068 0.928  0.00
Al 0.640 0.568 0.908  0.00
Al 0.432 0.072 0.340  0.00
Al 0.268 0.408 0.840  0.00
Al 0.232 0.572 0.640  0.00
Al 0.932 0.092 0.860  0.00
Al 0.660 0.232 0.592  0.00
Al 0.428 0.768 0.860  0.00
Al 0.072 0.432 0.840  0.00
Al 0.408 0.268 0.340  0.00
Al 0.072 0.640 0.732  0.00
Al 0.660 0.428 0.568  0.00
Al 0.268 0.860 0.928  0.00